# 1
Ta2TcSb (PBE-GGA, relaxed); total DFT energy (no corrections) = -8.956 eV/atom
1.0
-2.0131 -3.0228 1.6714
3.4043 -1.4090 1.5520
-0.7299 3.1616 9.6205
Ta Sb Tc
4 2 2
direct
0.8750 0.8790 0.7500 Ta
0.6290 0.1250 0.2500 Ta
0.3750 0.3710 0.7500 Ta
0.1210 0.6250 0.2500 Ta
0.0000 0.0000 0.0000 Sb
0.7500 0.2500 0.5000 Sb
0.5000 0.5000 0.0000 Tc
0.2500 0.7500 0.5000 Tc



# 2
MgNbAu (PBE-GGA, relaxed); energy relative to the elements = 0.57 eV per atom
1.0
0.4980 -3.5880 -2.6746
-2.4524 -0.3639 -3.7588
1.9686 0.4481 -4.0248
Au Mg Nb
1 1 1
direct
0.7500 0.7500 0.7500 Au
0.2500 0.2500 0.2500 Mg
0.5000 0.5000 0.5000 Nb



# 3
SrTeMo2 (PBE-GGA, relaxed); total DFT energy (no corrections) = -5.981 eV/atom
1.0
3.5518 0.0000 0.0000
0.0000 3.9561 0.0000
0.0000 0.0000 6.7766
Te Mo Sr
1 2 1
direct
0.5000 0.5000 0.7500 Te
0.0000 0.0000 0.5794 Mo
0.0000 0.0000 0.9206 Mo
0.5000 0.5000 0.2500 Sr



# 4
Zn3CrRh12 (PBE-GGA, relaxed); energy relative to the elements = -0.12 eV per atom
1.0
3.8189 0.0000 0.0000
0.0000 3.8189 0.0000
0.0000 0.0000 15.3660
Cr Rh Zn
1 12 3
direct
0.0000 0.0000 0.0000 Cr
0.5000 0.0000 0.1206 Rh
0.5000 0.5000 0.2483 Rh
0.0000 0.5000 0.1206 Rh
0.0000 0.5000 0.3745 Rh
0.0000 0.5000 0.6255 Rh
0.5000 0.5000 0.0000 Rh
0.0000 0.5000 0.8794 Rh
0.5000 0.0000 0.8794 Rh
0.5000 0.5000 0.7517 Rh
0.5000 0.0000 0.6255 Rh
0.5000 0.5000 0.5000 Rh
0.5000 0.0000 0.3745 Rh
0.0000 0.0000 0.2492 Zn
0.0000 0.0000 0.7508 Zn
0.0000 0.0000 0.5000 Zn